# 1
Material: TiVSi2Rh
Method: DFT, PBE
State: relaxed

Computed properties:
DFT total energy   -31.79 eV per formula unit
Crystal system   tetragonal
E_form (uncorrected)   0.68 eV per atom

a = 4.4604 Å, b = 4.7190 Å, c = 4.4604 Å
α = 90.00°, β = 90.00°, γ = 90.00°
Last column: nearest neighbours and their distance in Å.
Positions (direct):
Si (0.5000, 0.0000, 0.0000)  2 Rh 2.23
Si (0.0000, 0.0000, 0.5000)  2 Rh 2.23
Rh (0.0000, 0.0000, 0.0000)  4 Si 2.23, 2 Ti 2.36
V (0.5000, 0.5000, 0.5000)  4 Ti 3.15, 8 Si 3.25
Ti (0.0000, 0.5000, 0.0000)  2 Rh 2.36


# 2
Material: YPRu
Method: DFT, PBE
State: relaxed

Computed properties:
DFT total energy   -22.99 eV per formula unit
Crystal system   tetragonal
Formation energy   -1.839 eV/f.u.

a = 5.8105 Å, b = 5.8105 Å, c = 5.8105 Å
α = 148.99°, β = 148.99°, γ = 44.42°
Last column: nearest neighbours and their distance in Å.
Positions (direct):
P (0.0321, 0.0321, 0.0000)  4 Ru 2.45
Ru (0.6328, 0.6328, 0.0000)  4 P 2.45
Y (0.3351, 0.3351, 0.0000)  5 P 3.05-3.26, 5 Ru 3.09-3.20, 4 Y 3.11


# 3
Material: TlC
Method: DFT, PBE
State: relaxed

Computed properties:
DFT total energy   -6.83 eV per formula unit
Crystal system   tetragonal
ΔE to the lowest computed polymorph   1.5955 eV per atom
Formation energy   4.759 eV/f.u.

a = 3.4137 Å, b = 3.4137 Å, c = 3.2068 Å
α = 90.00°, β = 90.00°, γ = 90.00°
Last column: nearest neighbours and their distance in Å.
Positions (direct):
C (0.5000, 0.5000, 0.1447)  4 Tl 2.41
Tl (0.0000, 0.0000, 0.1453)  4 C 2.41


# 4
Material: SrMgV2
Method: DFT, PBE
State: relaxed

Computed properties:
DFT total energy   -17.64 eV per formula unit
Crystal system   cubic
ΔE to the lowest computed polymorph   0.0000 eV per atom
Formation energy   3.872 eV/f.u.

a = 5.1732 Å, b = 5.1732 Å, c = 5.1732 Å
α = 60.00°, β = 60.00°, γ = 60.00°
Last column: nearest neighbours and their distance in Å.
Positions (direct):
V (0.7500, 0.7500, 0.7500)  4 Mg 3.17, 4 Sr 3.17
V (0.2500, 0.2500, 0.2500)  4 Sr 3.17, 4 Mg 3.17
Sr (0.5000, 0.5000, 0.5000)  8 V 3.17
Mg (0.0000, 0.0000, 0.0000)  8 V 3.17


# 5
Material: Hf4Ti2Ir
Method: DFT, PBE
State: relaxed

Computed properties:
DFT total energy   -60.08 eV per formula unit
Crystal system   tetragonal
Formation energy   4.386 eV/f.u.

a = 5.0567 Å, b = 5.0567 Å, c = 7.5168 Å
α = 70.34°, β = 70.34°, γ = 90.00°
Last column: nearest neighbours and their distance in Å.
Positions (direct):
Hf (0.5000, 0.0000, 0.0000)  2 Ir 2.53
Hf (0.8073, 0.8073, 0.3854)  1 Ir 2.55, 1 Ti 2.70
Hf (0.0000, 0.5000, 0.0000)  2 Ir 2.53
Hf (0.1927, 0.1927, 0.6146)  1 Ir 2.55, 1 Ti 2.70
Ir (0.0000, 0.0000, 0.0000)  6 Hf 2.53-2.55
Ti (0.6031, 0.6031, 0.7938)  5 Hf 2.70-2.87, 1 Ti 2.73
Ti (0.3969, 0.3969, 0.2062)  5 Hf 2.70-2.87, 1 Ti 2.73


# 6
Material: Sb2AsRu
Method: DFT, PBE
State: relaxed

Computed properties:
DFT total energy   -22.04 eV per formula unit
Crystal system   tetragonal
E_form (uncorrected)   0.03 eV per atom

a = 3.1017 Å, b = 3.1017 Å, c = 8.9762 Å
α = 90.00°, β = 90.00°, γ = 90.00°
Last column: nearest neighbours and their distance in Å.
Positions (direct):
Sb (0.0000, 0.0000, 0.9355)  4 Ru 2.87, 4 Sb 3.10
Sb (0.5000, 0.5000, 0.2649)  4 Sb 3.10
As (0.0000, 0.0000, 0.5700)  4 Ru 2.62
Ru (0.5000, 0.5000, 0.7295)  4 As 2.62, 4 Sb 2.87